VASP calculation (GGA-PBE) on NbCd3Ni after structural relaxation.

It has space group Pm-3m (No. 221), with a = 4.7688 Å, b = 4.7688 Å, c = 4.7688 Å, α = 90.00°, β = 90.00° and γ = 90.00°. Symmetry generates all atoms from Nb at (0.0000, 0.0000, 0.0000), Cd at (0.0000, 0.5000, 0.5000) and Ni at (0.5000, 0.5000, 0.5000).

The formation enthalpy at 0 K comes out at 0.77 eV/atom. The calculation puts the energy relative to the lowest polymorph listed for this composition at 0.0 meV per atom. The density comes out at 7.49 g/cm3. As for the density of states at the Fermi level: 2.97 states/eV/f.u.